Below is crystalline ScTlS2N at its relaxed geometry, with properties calculated at the PBE level.

Cell: 5.087 5.087 4.124 Å, 90.00 90.00 90.00°
Space group P4/mmm (No. 123)
Inequivalent atoms, fractional coordinates:
1 Sc 0.000 0.000 0.000 (multiplicity 1)
2 Tl 0.500 0.500 0.500 (multiplicity 1)
3 S 0.000 0.500 0.500 (multiplicity 2)
4 N 0.500 0.500 0.000 (multiplicity 1)

## Properties
**Density**: 5.10 g/cm3
**Formation energy without anion corrections**: 696 meV/atom
**VASP energy**: -4.36 eV per atom
**Magnetization**: 0.000 Bohr magnetons per cell